First-principles (PBE-GGA) data for crystalline LiNbHg2Pb at its relaxed geometry, as listed in Alexandria.

The value obtained for the density of states at the Fermi level is 6.09 states/eV per cell.

The structure belongs to space group P4/mmm (No. 123); the cell edges are 5.8054, 5.8054 and 5.5898 Å and the angles 90.00°, 90.00° and 90.00°. The asymmetric unit holds Li at (0.0000, 0.0000, 0.0000), Nb at (0.5000, 0.5000, 0.0000), Hg at (0.0000, 0.5000, 0.5000) and Pb at (0.5000, 0.5000, 0.5000).

---

First-principles (PBE-GGA) data for crystalline LiNbHgPd2 at its relaxed geometry, as listed in Alexandria.

The value obtained for the density of states at the Fermi level is 4.22 states/eV per cell.

The structure belongs to space group P4/mmm (No. 123); the cell edges are 4.2948, 4.2948 and 4.7136 Å and the angles 90.00°, 90.00° and 90.00°. The asymmetric unit holds Li at (0.0000, 0.0000, 0.0000), Nb at (0.0000, 0.0000, 0.5000), Hg at (0.5000, 0.5000, 0.5000) and Pd at (0.0000, 0.5000, 0.0000).

---

First-principles (PBE-GGA) data for crystalline Li2NbReHg at its relaxed geometry, as listed in Alexandria.

The value obtained for the density of states at the Fermi level is 12.53 states/eV per cell.

The structure belongs to space group P4/mmm (No. 123); the cell edges are 4.3894, 4.3894 and 5.1454 Å and the angles 90.00°, 90.00° and 90.00°. The asymmetric unit holds Li at (0.0000, 0.5000, 0.0000), Nb at (0.0000, 0.0000, 0.0000), Re at (0.5000, 0.5000, 0.5000) and Hg at (0.0000, 0.0000, 0.5000).

---

Number 1: calculated density 6.243 Mg/m³, magnetic moment 3.48 Bohr magnetons per cell, formation enthalpy at 0 K 1.009 eV/atom. Number 2: calculated density 9.803 Mg/m³, magnetic moment 2.82 Bohr magnetons per cell, formation enthalpy at 0 K 0.579 eV/atom. Number 3: calculated density 8.268 Mg/m³, magnetic moment 0.00 Bohr magnetons per cell, formation enthalpy at 0 K 2.308 eV/atom.